Computed, not measured: an optimized crystal structure of LaSm5In3 at the GGA-PBE level of DFT.

Results
Uncorrected energy in eV/cell: -79.7
Formation energy in eV/atom: -0.347
Volume in A^3/atom: 30.40
Fermi-level density of states in states/eV/atom: 1.383
Symmetry: P6_3/mcm (193)
Magnetic moment in μB per formula unit: 1.6

Cell and atoms, written as CIF:
```
data_LaSm5In3
_symmetry_space_group_name_H-M 'P 1'
_symmetry_Int_Tables_number 1
_symmetry_space_group_name_Hall 'P 1'
_cell_length_a 9.575
_cell_length_b 9.575
_cell_length_c 6.892
_cell_angle_alpha 90.00
_cell_angle_beta 90.00
_cell_angle_gamma 120.00
loop_
_atom_site_label
_atom_site_type_symbol
_atom_site_fract_x
_atom_site_fract_y
_atom_site_fract_z
La1 La 0.000 0.000 0.000
La2 La 0.000 0.000 0.500
Sm1 Sm 0.000 0.331 0.250
Sm2 Sm 0.000 0.669 0.750
Sm3 Sm 0.331 0.000 0.250
Sm4 Sm 0.331 0.331 0.750
Sm5 Sm 0.333 0.667 0.000
Sm6 Sm 0.333 0.667 0.500
Sm7 Sm 0.667 0.333 0.000
Sm8 Sm 0.667 0.333 0.500
Sm9 Sm 0.669 0.000 0.750
Sm10 Sm 0.669 0.669 0.250
In1 In 0.000 0.339 0.750
In2 In 0.000 0.661 0.250
In3 In 0.339 0.000 0.750
In4 In 0.339 0.339 0.250
In5 In 0.661 0.000 0.250
In6 In 0.661 0.661 0.750
```

***

Computed, not measured: an optimized crystal structure of LaSm5In6 at the GGA-PBE level of DFT.

Results
Uncorrected energy in eV/cell: -50.9
Formation energy in eV/atom: -0.494
Volume in A^3/atom: 28.56
Fermi-level density of states in states/eV/atom: 0.508
Symmetry: C2/m (12)
Magnetic moment in μB per formula unit: 0.0

Cell and atoms, written as CIF:
```
data_LaSm5In6
_symmetry_space_group_name_H-M 'P 1'
_symmetry_Int_Tables_number 1
_symmetry_space_group_name_Hall 'P 1'
_cell_length_a 9.427
_cell_length_b 9.427
_cell_length_c 5.455
_cell_angle_alpha 106.41
_cell_angle_beta 106.41
_cell_angle_gamma 48.02
loop_
_atom_site_label
_atom_site_type_symbol
_atom_site_fract_x
_atom_site_fract_y
_atom_site_fract_z
La1 La 0.000 0.000 0.000
Sm1 Sm 0.162 0.162 0.662
Sm2 Sm 0.331 0.331 0.331
Sm3 Sm 0.500 0.500 0.000
Sm4 Sm 0.669 0.669 0.669
Sm5 Sm 0.838 0.838 0.338
In1 In 0.087 0.574 0.831
In2 In 0.262 0.738 0.500
In3 In 0.426 0.913 0.169
In4 In 0.574 0.087 0.831
In5 In 0.738 0.262 0.500
In6 In 0.913 0.426 0.169
```